(1)
First-principles (meta-GGA SCAN) data for YCoGe2 at its PBEsol-relaxed geometry, as listed in the Alexandria database.

Cell lengths 8.446, 8.446, 4.093 Å; angles 90.00, 90.00, 151.99 degrees
Fractional coordinates of all 8 atoms:
1 Y 0.110 0.890 0.750
2 Y 0.890 0.110 0.250
3 Co 0.319 0.681 0.750
4 Co 0.681 0.319 0.250
5 Ge 0.250 0.750 0.250
6 Ge 0.455 0.545 0.750
7 Ge 0.545 0.455 0.250
8 Ge 0.750 0.250 0.750

## Properties
E_form	-0.70	eV per atom
density of states at the Fermi level	1.8	states/eV/f.u.
mass density	7.10	g cm⁻³

(2)
First-principles (meta-GGA SCAN) data for CaNbS2N at its PBEsol-relaxed geometry, as listed in the Alexandria database.

Cell lengths 5.038, 5.038, 4.099 Å; angles 90.00, 90.00, 90.00 degrees
Fractional coordinates of all 5 atoms:
1 Ca 0.000 0.000 0.000
2 Nb 0.500 0.500 0.500
3 S 0.000 0.500 0.000
4 S 0.500 0.000 0.000
5 N 0.000 0.000 0.500

## Properties
electronic total energy	-13.546	eV per atom
density of states at the Fermi level	2.7	states/eV/f.u.
mass density	3.37	g cm⁻³

(3)
First-principles (meta-GGA SCAN) data for SiAgMo2 at its PBEsol-relaxed geometry, as listed in the Alexandria database.

Cell lengths 9.159, 9.159, 9.159 Å; angles 17.54, 17.54, 17.54 degrees
Fractional coordinates of all 4 atoms:
1 Si 0.000 0.000 0.000
2 Ag 0.749 0.749 0.749
3 Mo 0.258 0.258 0.258
4 Mo 0.507 0.507 0.507

## Properties
electronic total energy	-27.437	eV per atom
density of states at the Fermi level	3.4	states/eV/f.u.
mass density	8.94	g cm⁻³

(4)
First-principles (meta-GGA SCAN) data for SrScAl4 at its PBEsol-relaxed geometry, as listed in the Alexandria database.

Cell lengths 5.559, 5.559, 5.559 Å; angles 60.00, 60.00, 60.00 degrees
Fractional coordinates of all 6 atoms:
1 Sr 0.000 0.000 0.000
2 Sc 0.750 0.750 0.750
3 Al 0.376 0.376 0.376
4 Al 0.376 0.376 0.873
5 Al 0.376 0.873 0.376
6 Al 0.873 0.376 0.376

## Properties
E_form	-0.30	eV per atom
density of states at the Fermi level	3.0	states/eV/f.u.
mass density	3.29	g cm⁻³